Entry 1:
The following is a DFT calculation (meta-GGA SCAN) of NaMgZr3 at its PBEsol-relaxed geometry.

Cell: 4.990 4.990 4.990 Å, 90.00 90.00 90.00°
Space group Pm-3m (No. 221)
Symmetry-distinct sites (fractional):
Na 0.000 0.000 0.000 (multiplicity 1)
Mg 0.500 0.500 0.500 (multiplicity 1)
Zr 0.000 0.000 0.500 (multiplicity 3)

Output
**E_form**: 1.33 eV per atom
**E**: -18.930 eV/atom
**ΔE to the lowest computed polymorph**: 99.2 meV per atom
**N(E_F)**: 4.94 states/eV/f.u.

=====

Entry 2:
The following is a DFT calculation (meta-GGA SCAN) of FeMoP2 at its PBEsol-relaxed geometry.

Cell: 5.736 5.736 5.736 Å, 90.00 90.00 90.00°
Space group Fm-3m (No. 225)
Symmetry-distinct sites (fractional):
Fe 0.000 0.000 0.000 (multiplicity 4)
Mo 0.000 0.000 0.500 (multiplicity 4)
P 0.250 0.250 0.250 (multiplicity 8)

Output
**E_form**: -0.09 eV per atom
**E**: -18.542 eV/atom
**N(E_F)**: 1.95 states/eV/f.u.

=====

Entry 3:
The following is a DFT calculation (meta-GGA SCAN) of Na2CdSi at its PBEsol-relaxed geometry.

Cell: 7.020 7.020 7.020 Å, 90.00 90.00 90.00°
Space group Fm-3m (No. 225)
Symmetry-distinct sites (fractional):
Na 0.250 0.250 0.250 (multiplicity 8)
Cd 0.000 0.000 0.000 (multiplicity 4)
Si 0.000 0.000 0.500 (multiplicity 4)

Output
**E**: -11.999 eV/atom
**Uncorrected formation energy**: 216 meV/atom
**N(E_F)**: 2.37 states/eV/f.u.

=====

Entry 4:
The following is a DFT calculation (meta-GGA SCAN) of BaScOs2 at its PBEsol-relaxed geometry.

Cell: 3.022 4.125 7.005 Å, 90.00 90.00 90.00°
Space group Pmmm (No. 47)
Symmetry-distinct sites (fractional):
Ba 0.000 0.000 0.000 (multiplicity 1)
Sc 0.000 0.000 0.500 (multiplicity 1)
Os 0.500 0.500 0.331 (multiplicity 2)

Output
**E_form**: 0.43 eV per atom
**E**: -48.958 eV/atom
**ΔE to the lowest computed polymorph**: 0.0 meV per atom
**N(E_F)**: 3.68 states/eV/f.u.

=====

> Which formula does entry 2 have?

FeMoP2